VASP calculation (PBE) on a relaxed structure of Pt2Au.

Computed properties:
DFT formation energy	0.1955	eV per atom
offset from the most stable computed form	0.20	eV per formula unit
SG	Fd-3m (227)

Lattice parameters (Å, degrees): 5.250 5.250 5.250 60.00 60.00 60.00
Positions (direct):
Pt 0.000 0.000 0.000
Pt 0.000 0.000 0.500
Pt 0.000 0.500 0.000
Pt 0.500 0.000 0.000
Au 0.375 0.375 0.375
Au 0.625 0.625 0.625